Li2In2F7 | PBE | relaxed

As for the total energy: -0.3315 Ry per atom. For the uncorrected formation energy, the calculation gives -2.474 eV per atom. Its density is 3.88 g/cm³. For the density of states at the Fermi level, the calculation gives 2.202 states/eV per cell.

The space group is C2/m (No. 12) and the conventional cell measures 7.0527, 8.7844 and 5.2814 Å, with angles of 90.00, 100.05 and 90.00 degrees. Symmetry generates all atoms from Li at (0.2342, 0.0000, 0.4337), In at (0.0000, 0.2977, 0.0000), F at (0.0000, 0.0000, 0.5000), F at (0.0891, 0.5000, 0.2432) and F at (0.2489, 0.3244, 0.7887).

---

LiInF5 | PBE | relaxed

As for the total energy: -0.3078 Ry per atom. For the uncorrected formation energy, the calculation gives -2.186 eV per atom. Its density is 3.86 g/cm³.

The space group is C2/c (No. 15) and the conventional cell measures 9.3662, 6.7126 and 7.0624 Å, with angles of 90.00, 122.84 and 90.00 degrees. Symmetry generates all atoms from Li at (0.0000, 0.0000, 0.0000), In at (0.0000, 0.4430, 0.2500), F at (0.0000, 0.1036, 0.2500), F at (0.0100, 0.3182, 0.9624) and F at (0.2356, 0.0490, 0.5885).

---

> Look up the density of the second one.

3.86 g/cm³

---

> Among the records above, which one has the highest density?

Li2In2F7

---

> What is the density in the second record?

3.86 g/cm³